CaCeHg3: optimized geometry, PBE.

Output
VASP energy in eV per atom: -2.168
Formation enthalpy at 0 K in meV per atom: -399.7

POSCAR file:
```
CaCeHg3
1.0
1.763 -14.872 0.000
1.763 14.872 0.000
0.000 0.000 5.059
Ca Ce Hg
2 2 6
Cartesian
1.763 8.629 3.795 Ca
1.763 -8.629 1.265 Ca
1.763 12.647 1.265 Ce
1.763 -12.647 3.795 Ce
1.763 5.330 3.795 Hg
1.763 3.626 1.265 Hg
1.763 0.717 1.265 Hg
1.763 -0.717 3.795 Hg
1.763 -3.626 3.795 Hg
1.763 -5.330 1.265 Hg
```